No. 1
The following is a GGA-PBE calculation of a relaxed Ce4Sb5Te crystal, from the Alexandria database.

Computed properties:
The value obtained for the uncorrected energy is -5.516 eV/atom. The value obtained for the total moment is 3.7 μB per formula unit. The value obtained for the density of states at the Fermi level is 2.447 states/eV/atom.

a b c (Å): 4.7871 8.3378 10.7151
angles (deg): 126.64 102.91 90.00
Closest atoms and distances in Å follow each position.
Fractional positions:
Ce: 0.3154 0.8940 0.6309  6 Sb 3.15-3.28, 1 Te 3.39
Ce: 0.9655 0.6844 0.9309  5 Sb 3.15-3.25, 2 Te 3.29
Ce: 0.6846 0.1060 0.3691  6 Sb 3.15-3.28, 1 Te 3.39
Ce: 0.0345 0.3156 0.0691  5 Sb 3.15-3.25, 2 Te 3.29
Sb: 0.7972 0.6032 0.5943  2 Sb 2.90, 1 Ce 3.15
Sb: 0.8542 0.1939 0.7084  5 Ce 3.15-3.25, 2 Sb 3.46
Sb: 0.1458 0.8061 0.2916  5 Ce 3.15-3.25, 2 Sb 3.46
Sb: 0.5000 0.5000 0.0000  4 Ce 3.16, 4 Sb 3.46
Sb: 0.2028 0.3968 0.4057  2 Sb 2.90, 1 Ce 3.15
Te: 0.5000 0.0000 0.0000  6 Ce 3.29-3.39

No. 2
The following is a GGA-PBE calculation of a relaxed Y3As crystal, from the Alexandria database.

Computed properties:
The value obtained for the total moment is 0.0 μB per formula unit. The calculation puts the formation energy at -0.36 eV per atom. The value obtained for the density of states at the Fermi level is 0.855 states/eV/atom.

a b c (Å): 5.9849 5.9849 5.9849
angles (deg): 90.00 90.00 90.00
Closest atoms and distances in Å follow each position.
Fractional positions:
Y: 0.7500 0.5000 0.0000  2 Y 2.99, 4 As 3.35
Y: 0.2500 0.5000 0.0000  2 Y 2.99, 4 As 3.35
Y: 0.0000 0.7500 0.5000  2 Y 2.99, 4 As 3.35
Y: 0.0000 0.2500 0.5000  2 Y 2.99, 4 As 3.35
Y: 0.5000 0.0000 0.2500  2 Y 2.99, 4 As 3.35
Y: 0.5000 0.0000 0.7500  2 Y 2.99, 4 As 3.35
As: 0.0000 0.0000 0.0000  12 Y 3.35
As: 0.5000 0.5000 0.5000  12 Y 3.35

No. 3
The following is a GGA-PBE calculation of a relaxed DyEr2Cd crystal, from the Alexandria database.

Computed properties:
The value obtained for the total moment is 0.0 μB per formula unit. The calculation puts the formation energy at -0.09 eV per atom. The value obtained for the density of states at the Fermi level is 1.404 states/eV/atom.

a b c (Å): 4.8147 4.8182 4.8182
angles (deg): 90.00 90.00 90.00
Closest atoms and distances in Å follow each position.
Fractional positions:
Cd: 0.5000 0.0000 0.0000  8 Er 3.41, 4 Dy 3.41
Dy: 0.5000 0.5000 0.5000  8 Er 3.41, 4 Cd 3.41
Er: 0.0000 0.0000 0.5000  4 Cd 3.41, 4 Dy 3.41, 4 Er 3.41
Er: 0.0000 0.5000 0.0000  4 Cd 3.41, 4 Dy 3.41, 4 Er 3.41

No. 4
The following is a GGA-PBE calculation of a relaxed CdBrO2 crystal, from the Alexandria database.

Computed properties:
The value obtained for the uncorrected energy is -3.554 eV/atom. The value obtained for the total moment is 1.0 μB per formula unit. The value obtained for the density of states at the Fermi level is 0.000 states/eV/atom.

a b c (Å): 17.5249 3.9737 7.4963
angles (deg): 90.00 136.23 90.00
Closest atoms and distances in Å follow each position.
Fractional positions:
O: 0.7982 0.0000 0.4747  1 O 1.33
O: 0.2018 0.0000 0.5253  1 O 1.33
O: 0.7018 0.5000 0.0253  1 O 1.33
O: 0.2982 0.5000 0.9747  1 O 1.33
O: 0.1422 0.0000 0.5738  1 O 1.33
O: 0.8578 0.0000 0.4262  1 O 1.33
O: 0.3578 0.5000 0.9262  1 O 1.33
O: 0.6422 0.5000 0.0738  1 O 1.33
Br: 0.6097 0.0000 0.4734  3 Cd 2.77-2.82
Br: 0.3903 0.0000 0.5266  3 Cd 2.77-2.82
Br: 0.8903 0.5000 0.0266  3 Cd 2.77-2.82
Br: 0.1097 0.5000 0.9734  3 Cd 2.77-2.82
Cd: 0.2294 0.0000 0.9928  3 O 2.30-2.38
Cd: 0.7706 0.0000 0.0072  3 O 2.30-2.38
Cd: 0.2706 0.5000 0.5072  3 O 2.30-2.38
Cd: 0.7294 0.5000 0.4928  3 O 2.30-2.38

No. 5
The following is a GGA-PBE calculation of a relaxed BaLaCrW2 crystal, from the Alexandria database.

Computed properties:
The value obtained for the total moment is 0.0 μB per formula unit. The calculation puts the formation energy at 1.18 eV per atom. The value obtained for the density of states at the Fermi level is 1.282 states/eV/atom.

a b c (Å): 4.7641 5.4062 4.7641
angles (deg): 90.00 90.00 90.00
Closest atoms and distances in Å follow each position.
Fractional positions:
Cr: 0.0000 0.0000 0.0000  4 W 2.38
Ba: 0.5000 0.5000 0.5000  4 La 3.37, 8 W 3.60
W: 0.0000 0.0000 0.5000  2 Cr 2.38
W: 0.5000 0.0000 0.0000  2 Cr 2.38
La: 0.0000 0.5000 0.0000  2 Cr 2.70

No. 6
The following is a GGA-PBE calculation of a relaxed NaSrHo2Se4 crystal, from the Alexandria database.

Computed properties:
The value obtained for the uncorrected energy is -5.056 eV/atom. The value obtained for the total moment is 0.0 μB per formula unit. The value obtained for the density of states at the Fermi level is 0.320 states/eV/atom.

a b c (Å): 4.1494 7.4645 7.1566
angles (deg): 71.32 90.00 90.00
Closest atoms and distances in Å follow each position.
Fractional positions:
Na: 0.0000 0.5000 0.5000  6 Se 3.03-3.06
Sr: 0.5000 0.5000 0.0000  6 Se 3.07
Ho: 0.0000 0.0000 0.0000  6 Se 2.90-2.91
Ho: 0.5000 0.0000 0.5000  6 Se 2.87-2.88
Se: 0.0000 0.7696 0.7397  3 Ho 2.88-2.91, 1 Na 3.03, 2 Sr 3.07
Se: 0.0000 0.2304 0.2602  3 Ho 2.88-2.91, 1 Na 3.03, 2 Sr 3.07
Se: 0.5000 0.7707 0.2456  3 Ho 2.87-2.90, 2 Na 3.06, 1 Sr 3.07
Se: 0.5000 0.2293 0.7544  3 Ho 2.87-2.90, 2 Na 3.06, 1 Sr 3.07

No. 7
The following is a GGA-PBE calculation of a relaxed ErFeGe2 crystal, from the Alexandria database.

Computed properties:
The value obtained for the total moment is 1.1 μB per formula unit. The calculation puts the formation energy at -0.45 eV per atom. The value obtained for the density of states at the Fermi level is 0.722 states/eV/atom.

a b c (Å): 4.0512 4.0512 5.4566
angles (deg): 68.21 68.21 60.00
Closest atoms and distances in Å follow each position.
Fractional positions:
Ge: 0.7816 0.7816 0.6552  3 Fe 2.46
Ge: 0.2184 0.2184 0.3448  3 Fe 2.46
Fe: 0.5000 0.5000 0.5000  6 Ge 2.46
Er: 0.0000 0.0000 0.0000  8 Ge 2.89-3.23

No. 8
The following is a GGA-PBE calculation of a relaxed Tb3PmYEr crystal, from the Alexandria database.

Computed properties:
The value obtained for the total moment is 0.0 μB per formula unit. The calculation puts the formation energy at 0.20 eV per atom. The value obtained for the density of states at the Fermi level is 1.539 states/eV/atom.

a b c (Å): 5.6956 10.3649 6.8972
angles (deg): 90.16 90.00 105.95
Closest atoms and distances in Å follow each position.
Fractional positions:
Tb: 0.8373 0.6746 0.2695  2 Er 3.41, 2 Pm 3.50, 4 Tb 3.56-3.71
Tb: 0.7801 0.5603 0.7574  3 Pm 3.26-3.56, 1 Y 3.28, 3 Er 3.31-3.52, 1 Tb 3.56
Tb: 0.4791 0.9581 0.2599  1 Pm 3.14, 1 Er 3.20, 2 Y 3.23, 1 Tb 3.41
Tb: 0.2199 0.4397 0.2426  3 Pm 3.26-3.56, 1 Y 3.28, 3 Er 3.31-3.52, 1 Tb 3.56
Tb: 0.5209 0.0419 0.7401  1 Pm 3.14, 1 Er 3.20, 2 Y 3.23, 1 Tb 3.41
Tb: 0.1627 0.3254 0.7305  2 Er 3.41, 2 Pm 3.50, 4 Tb 3.56-3.71
Pm: 0.3551 0.7101 0.9780  1 Er 3.03, 2 Tb 3.14-3.26
Pm: 0.6449 0.2899 0.0220  1 Er 3.03, 2 Tb 3.14-3.26
Y: 0.0553 0.1106 0.2642  3 Tb 3.23-3.28
Y: 0.9447 0.8894 0.7358  3 Tb 3.23-3.28
Er: 0.6492 0.2985 0.4613  1 Pm 3.03, 2 Tb 3.20-3.31
Er: 0.3508 0.7015 0.5387  1 Pm 3.03, 2 Tb 3.20-3.31

No. 9
The following is a GGA-PBE calculation of a relaxed SiPAu2 crystal, from the Alexandria database.

Computed properties:
The value obtained for the uncorrected energy is -4.134 eV/atom. The value obtained for the total moment is 0.0 μB per formula unit. The value obtained for the density of states at the Fermi level is 0.582 states/eV/atom.

a b c (Å): 3.6707 3.6697 5.3264
angles (deg): 90.00 90.00 90.00
Closest atoms and distances in Å follow each position.
Fractional positions:
Au: 0.0000 0.0000 0.8753  4 Si 2.60, 2 P 2.66
Au: 0.5000 0.5000 0.3748  4 P 2.60, 2 Si 2.66
P: 0.0000 0.0000 0.3752  6 Au 2.60-2.66
Si: 0.5000 0.5000 0.8747  6 Au 2.60-2.66

No. 10
The following is a GGA-PBE calculation of a relaxed In3CoCl crystal, from the Alexandria database.

Computed properties:
The value obtained for the uncorrected energy is -2.679 eV/atom. The value obtained for the total moment is 2.0 μB per formula unit. The value obtained for the density of states at the Fermi level is 0.582 states/eV/atom.

a b c (Å): 5.6053 5.6053 5.6053
angles (deg): 90.00 90.00 90.00
Closest atoms and distances in Å follow each position.
Fractional positions:
Cl: 0.0000 0.0000 0.0000  6 In 2.80
Co: 0.5000 0.5000 0.5000  12 In 3.96
In: 0.0000 0.5000 0.0000  2 Cl 2.80
In: 0.0000 0.0000 0.5000  2 Cl 2.80
In: 0.5000 0.0000 0.0000  2 Cl 2.80

No. 11
The following is a GGA-PBE calculation of a relaxed SmYThZr crystal, from the Alexandria database.

Computed properties:
The value obtained for the total moment is 0.0 μB per formula unit. The calculation puts the formation energy at 0.17 eV per atom. The value obtained for the density of states at the Fermi level is 1.653 states/eV/atom.

a b c (Å): 5.5130 5.5130 5.5130
angles (deg): 60.00 60.00 60.00
Closest atoms and distances in Å follow each position.
Fractional positions:
Y: 0.7500 0.7500 0.7500  4 Sm 3.38, 4 Th 3.38
Zr: 0.2500 0.2500 0.2500  4 Th 3.38, 4 Sm 3.38
Sm: 0.0000 0.0000 0.0000  4 Zr 3.38, 4 Y 3.38
Th: 0.5000 0.5000 0.5000  4 Zr 3.38, 4 Y 3.38

No. 12
The following is a GGA-PBE calculation of a relaxed CsZrTe2 crystal, from the Alexandria database.

Computed properties:
The value obtained for the uncorrected energy is -4.738 eV/atom. The value obtained for the total moment is 0.2 μB per formula unit. The value obtained for the density of states at the Fermi level is 0.534 states/eV/atom.

a b c (Å): 3.7100 3.7100 9.1240
angles (deg): 90.00 90.00 90.00
Closest atoms and distances in Å follow each position.
Fractional positions:
Cs: 0.5000 0.5000 0.5000  4 Cs 3.71, 8 Te 3.88
Te: 0.0000 0.0000 0.8131  4 Zr 3.13, 1 Te 3.41
Te: 0.0000 0.0000 0.1869  4 Zr 3.13, 1 Te 3.41
Zr: 0.5000 0.5000 0.0000  8 Te 3.13